1.
Below is an optimized crystal structure of YZr2Cu2, with properties calculated at the PBE level.

a b c (Å): 7.816 7.816 3.289
angles (deg): 90.00 90.00 90.00
Space group P4/mbm (No. 127)
Inequivalent atoms, fractional coordinates:
Y: 0.000 0.000 0.000 [2 per cell]
Zr: 0.168 0.332 0.500 [4 per cell]
Cu: 0.122 0.622 0.000 [4 per cell]

- electronic total energy (eV per atom) = -6.388
- DOS at the Fermi energy (states/eV/cell) = 14.530
- theoretical density (g/cm³) = 6.6

2.
Below is an optimized crystal structure of YZrCu, with properties calculated at the PBE level.

a b c (Å): 9.580 5.957 5.889
angles (deg): 90.00 127.87 90.00
Space group Cm (No. 8)
Inequivalent atoms, fractional coordinates:
Y: 0.000 0.000 0.000 [2 per cell]
Y: 0.216 0.000 0.715 [2 per cell]
Zr: 0.056 0.500 0.743 [2 per cell]
Zr: 0.160 0.500 0.347 [2 per cell]
Cu: 0.358 0.249 0.258 [4 per cell]

- electronic total energy (eV per atom) = -6.417
- DOS at the Fermi energy (states/eV/cell) = 11.530
- theoretical density (g/cm³) = 6.1

3.
Below is an optimized crystal structure of YZr2Cu, with properties calculated at the PBE level.

a b c (Å): 3.298 3.298 8.112
angles (deg): 90.00 90.00 90.00
Space group P4/mmm (No. 123)
Inequivalent atoms, fractional coordinates:
Y: 0.000 0.000 0.000 [1 per cell]
Zr: 0.500 0.500 0.295 [2 per cell]
Cu: 0.000 0.000 0.500 [1 per cell]

- electronic total energy (eV per atom) = -6.882
- DOS at the Fermi energy (states/eV/cell) = 5.162
- theoretical density (g/cm³) = 6.3

4.
Below is an optimized crystal structure of YZrCu, with properties calculated at the PBE level.

a b c (Å): 6.571 6.571 6.571
angles (deg): 90.00 90.00 90.00
Space group F-43m (No. 216)
Inequivalent atoms, fractional coordinates:
Y: 0.000 0.000 0.000 [4 per cell]
Zr: 0.250 0.250 0.750 [4 per cell]
Cu: 0.000 0.000 0.500 [4 per cell]

- electronic total energy (eV per atom) = -5.539
- DOS at the Fermi energy (states/eV/cell) = 1.299
- theoretical density (g/cm³) = 5.7

5.
Below is an optimized crystal structure of YZrCu, with properties calculated at the PBE level.

a b c (Å): 4.9932 4.9932 5.8409
angles (deg): 90.00 90.00 120.00
Space group P6_3/mmc (No. 194)
Inequivalent atoms, fractional coordinates:
Y: 0.3333 0.6667 0.2500 [2 per cell]
Zr: 0.3333 0.6667 0.7500 [2 per cell]
Cu: 0.0000 0.0000 0.0000 [2 per cell]

- electronic total energy (eV per atom) = -5.886
- DOS at the Fermi energy (states/eV/cell) = 6.395
- theoretical density (g/cm³) = 6.4

6.
Below is an optimized crystal structure of YZrCu, with properties calculated at the PBE level.

a b c (Å): 3.661 4.729 8.310
angles (deg): 73.51 77.36 89.94
Space group P-1 (No. 2)
Inequivalent atoms, fractional coordinates:
Y: 0.179 0.180 0.141 [2 per cell]
Zr: 0.000 0.500 0.500 [1 per cell]
Zr: 0.500 0.000 0.500 [1 per cell]
Cu: 0.368 0.367 0.763 [2 per cell]

- electronic total energy (eV per atom) = -6.420
- DOS at the Fermi energy (states/eV/cell) = 9.474
- theoretical density (g/cm³) = 6.0

7.
Below is an optimized crystal structure of Y3ZrCu4, with properties calculated at the PBE level.

a b c (Å): 3.434 3.434 13.712
angles (deg): 90.00 90.00 90.00
Space group P4/mmm (No. 123)
Inequivalent atoms, fractional coordinates:
Y: 0.000 0.000 0.000 [1 per cell]
Y: 0.000 0.000 0.257 [2 per cell]
Zr: 0.000 0.000 0.500 [1 per cell]
Cu: 0.500 0.500 0.127 [2 per cell]
Cu: 0.500 0.500 0.396 [2 per cell]

- electronic total energy (eV per atom) = -5.735
- DOS at the Fermi energy (states/eV/cell) = 6.526
- theoretical density (g/cm³) = 6.3

8.
Below is an optimized crystal structure of YZr2Cu, with properties calculated at the PBE level.

a b c (Å): 3.304 3.304 8.180
angles (deg): 90.00 90.00 90.00
Space group P4mm (No. 99)
Inequivalent atoms, fractional coordinates:
Y: 0.000 0.000 0.000 [1 per cell]
Zr: 0.000 0.000 0.566 [1 per cell]
Zr: 0.500 0.500 0.309 [1 per cell]
Cu: 0.500 0.500 0.759 [1 per cell]

- electronic total energy (eV per atom) = -6.979
- DOS at the Fermi energy (states/eV/cell) = 4.479
- theoretical density (g/cm³) = 6.2